No. 1
ScMnTlZn: relaxed, PBE-GGA.

Computed properties:
**Energy relative to the elements**: 1 kJ/mol of formula units
**Electronic total energy**: -4.784 eV per atom

abc: 6.6717 6.6717 6.6717
angles: 90.00 90.00 90.00
Closest atoms and distances in Å follow each position.
Space group F-43m (No. 216)
One atom of each set of equivalent atoms:
Sc (0.0000, 0.0000, 0.0000) (multiplicity 4)  4 Tl 2.89, 4 Zn 2.89
Mn (0.0000, 0.0000, 0.5000) (multiplicity 4)  4 Tl 2.89, 4 Zn 2.89
Tl (0.2500, 0.2500, 0.2500) (multiplicity 4)  4 Mn 2.89, 4 Sc 2.89
Zn (0.2500, 0.2500, 0.7500) (multiplicity 4)  4 Mn 2.89, 4 Sc 2.89



No. 2
InPt14Au: relaxed, PBE-GGA.

Computed properties:
**Energy relative to the elements**: -76 kJ/mol of formula units
**Electronic total energy**: -5.711 eV per atom

abc: 9.3973 5.6194 9.7419
angles: 90.00 90.00 90.00
Closest atoms and distances in Å follow each position.
Space group Amm2 (No. 38)
One atom of each set of equivalent atoms:
In (0.0000, 0.0000, 0.0000) (multiplicity 2)  10 Pt 2.80-2.88, 2 Au 2.81
Pt (0.0000, 0.2490, 0.7513) (multiplicity 4)  2 In 2.80-2.82, 8 Pt 2.80-2.87, 2 Au 2.81
Pt (0.2496, 0.0000, 0.1654) (multiplicity 4)  11 Pt 2.80-2.86, 1 In 2.85
Pt (0.2513, 0.0000, 0.6655) (multiplicity 4)  11 Pt 2.80-2.87, 1 Au 2.86
Pt (0.2527, 0.2503, 0.4141) (multiplicity 8)  10 Pt 2.80-2.86, 1 In 2.88, 1 Au 2.89
Pt (0.5000, 0.0000, 0.3291) (multiplicity 2)  12 Pt 2.81-2.84
Pt (0.5000, 0.0000, 0.8293) (multiplicity 2)  12 Pt 2.81-2.84
Pt (0.5000, 0.2497, 0.0796) (multiplicity 4)  12 Pt 2.81-2.86
Au (0.0000, 0.0000, 0.5008) (multiplicity 2)  2 In 2.81, 10 Pt 2.81-2.89



No. 3
LiPmCoGe: relaxed, PBE-GGA.

Computed properties:
**Energy relative to the elements**: -117 kJ/mol of formula units
**Electronic total energy**: -4.899 eV per atom

abc: 6.4170 6.4170 6.4170
angles: 90.00 90.00 90.00
Closest atoms and distances in Å follow each position.
Space group F-43m (No. 216)
One atom of each set of equivalent atoms:
Li (0.0000, 0.0000, 0.0000) (multiplicity 4)  4 Ge 2.78, 4 Pm 2.78
Pm (0.2500, 0.2500, 0.2500) (multiplicity 4)  4 Li 2.78, 4 Co 2.78
Co (0.0000, 0.0000, 0.5000) (multiplicity 4)  4 Pm 2.78, 4 Ge 2.78
Ge (0.2500, 0.2500, 0.7500) (multiplicity 4)  4 Co 2.78, 4 Li 2.78



No. 4
ScSn2Pt2: relaxed, PBE-GGA.

Computed properties:
**Energy relative to the elements**: -393 kJ/mol of formula units
**Electronic total energy**: -6.099 eV per atom

abc: 4.6115 4.6770 9.7275
angles: 90.00 90.49 90.00
Closest atoms and distances in Å follow each position.
Space group P2_1/m (No. 11)
One atom of each set of equivalent atoms:
Sc (0.2261, 0.2500, 0.1711) (multiplicity 2)  4 Pt 2.66-2.83
Sn (0.2496, 0.2500, 0.8283) (multiplicity 2)  5 Pt 2.74-2.86
Sn (0.2552, 0.2500, 0.4963) (multiplicity 2)  4 Pt 2.82-2.84
Pt (0.2437, 0.7500, 0.3340) (multiplicity 2)  6 Sn 2.76-2.84, 2 Sc 2.83
Pt (0.2872, 0.7500, 0.9740) (multiplicity 2)  2 Sc 2.66-2.75, 3 Sn 2.74-2.86



No. 5
Tb8SmY2: relaxed, PBE-GGA.

Computed properties:
**Energy relative to the elements**: 122 kJ/mol of formula units
**Electronic total energy**: -4.856 eV per atom
**Polymorph energy (0 for the lowest one)**: 0 meV/atom

abc: 5.5661 8.1313 15.9257
angles: 90.00 90.00 90.00
Closest atoms and distances in Å follow each position.
Space group Immm (No. 71)
One atom of each set of equivalent atoms:
Tb (0.0000, 0.0000, 0.1635) (multiplicity 4)  2 Y 3.53, 8 Tb 3.53-3.69, 2 Sm 3.81
Tb (0.0000, 0.2059, 0.3632) (multiplicity 8)  1 Sm 3.23, 4 Tb 3.35-3.59, 3 Y 3.40-3.52
Tb (0.0000, 0.2937, 0.0000) (multiplicity 4)  7 Tb 3.35-3.53, 2 Y 3.61, 2 Sm 3.67
Sm (0.0000, 0.5000, 0.5000) (multiplicity 2)  4 Tb 3.23
Y (0.0000, 0.5000, 0.2006) (multiplicity 4)  10 Tb 3.40-3.61



No. 6
Cu7Ni2: relaxed, PBE-GGA.

Computed properties:
**Energy relative to the elements**: 47 kJ/mol of formula units
**Electronic total energy**: -4.416 eV per atom
**Polymorph energy (0 for the lowest one)**: 47 meV/atom

abc: 6.9885 6.9885 2.4977
angles: 90.00 90.00 120.00
Closest atoms and distances in Å follow each position.
Space group P-62m (No. 189)
One atom of each set of equivalent atoms:
Cu (0.0000, 0.0000, 0.0000) (multiplicity 1)  11 Cu 2.50-2.52
Cu (0.0000, 0.3091, 0.5000) (multiplicity 3)  2 Ni 2.42, 10 Cu 2.50-2.67
Cu (0.0000, 0.6391, 0.0000) (multiplicity 3)  9 Cu 2.50-2.67, 4 Ni 2.56
Ni (0.3333, 0.6667, 0.5000) (multiplicity 2)  9 Cu 2.42-2.56, 2 Ni 2.50



No. 7
SrRhSe2N: relaxed, PBE-GGA.

Computed properties:
**ΔE_f (raw)**: -0.458 eV/atom
**Electronic total energy**: -5.324 eV per atom
**Polymorph energy (0 for the lowest one)**: 0 meV/atom

abc: 5.3149 5.3149 3.7187
angles: 90.00 90.00 90.00
Closest atoms and distances in Å follow each position.
Space group P4/mmm (No. 123)
One atom of each set of equivalent atoms:
Sr (0.0000, 0.0000, 0.0000) (multiplicity 1)  8 Se 3.24
Rh (0.5000, 0.5000, 0.5000) (multiplicity 1)  2 N 1.86
Se (0.0000, 0.5000, 0.5000) (multiplicity 2)  2 Rh 2.66
N (0.5000, 0.5000, 0.0000) (multiplicity 1)  2 Rh 1.86



No. 8
SmAl4Sb: relaxed, PBE-GGA.

Computed properties:
**ΔE_f (raw)**: -0.194 eV/atom
**Electronic total energy**: -4.162 eV per atom

abc: 7.9162 7.9162 7.9162
angles: 90.00 90.00 90.00
Closest atoms and distances in Å follow each position.
Space group F-43m (No. 216)
One atom of each set of equivalent atoms:
Sm (0.0000, 0.0000, 0.0000) (multiplicity 4)  12 Al 3.28, 4 Sb 3.43
Al (0.1249, 0.1249, 0.6249) (multiplicity 16)  6 Al 2.80
Sb (0.2500, 0.2500, 0.2500) (multiplicity 4)  12 Al 3.28, 4 Sm 3.43